# 1
{"formula": "BaSr2In", "functional": "PBE", "state": "optimized geometry", "lattice": [[0.000, 4.403, 4.403], [4.403, 0.000, 4.403], [4.403, 4.403, 0.000]], "species": ["Ba", "Sr", "Sr", "In"], "fractional_positions": [[0.000, 0.000, 0.000], [0.500, 0.500, 0.500], [0.750, 0.750, 0.750], [0.250, 0.250, 0.250]], "formation_energy_ev_per_atom": -0.136, "sg": "F-43m, No. 216", "final_energy_ry_per_atom": -0.1575, "magnetic_moment_mub_per_fu": 0.0, "dos_ef_per_ev_atom": 0.88}


# 2
{"formula": "MgAg2HgF6", "functional": "PBE", "state": "optimized geometry", "lattice": [[5.810, 0.000, 0.000], [0.000, 5.960, 0.000], [-5.807, 0.000, 8.378]], "species": ["Mg", "Mg", "Ag", "Ag", "Ag", "Ag", "Hg", "Hg", "F", "F", "F", "F", "F", "F", "F", "F", "F", "F", "F", "F"], "fractional_positions": [[0.000, 0.000, 0.000], [0.000, 0.500, 0.500], [0.235, 0.061, 0.752], [0.235, 0.439, 0.252], [0.765, 0.561, 0.748], [0.765, 0.939, 0.248], [0.500, 0.000, 0.500], [0.500, 0.500, 0.000], [0.115, 0.220, 0.438], [0.115, 0.280, 0.938], [0.220, 0.686, 0.441], [0.220, 0.814, 0.941], [0.342, 0.039, 0.227], [0.342, 0.461, 0.727], [0.658, 0.539, 0.273], [0.658, 0.961, 0.773], [0.780, 0.186, 0.059], [0.780, 0.314, 0.559], [0.885, 0.720, 0.062], [0.885, 0.780, 0.562]], "sg": "P2_1/c, No. 14", "final_energy_ry_per_atom": -0.2753, "magnetic_moment_mub_per_fu": 0.0}


# 3
{"formula": "ZrTa8Nb2", "functional": "PBE", "state": "optimized geometry", "lattice": [[3.331, 0.000, 0.000], [0.009, 7.518, 0.000], [1.663, 2.200, 8.197]], "species": ["Zr", "Ta", "Ta", "Ta", "Ta", "Ta", "Ta", "Ta", "Ta", "Nb", "Nb"], "fractional_positions": [[0.000, 0.000, 0.000], [0.092, 0.454, 0.817], [0.182, 0.907, 0.635], [0.357, 0.814, 0.286], [0.454, 0.285, 0.091], [0.546, 0.715, 0.909], [0.643, 0.186, 0.714], [0.818, 0.093, 0.365], [0.908, 0.546, 0.183], [0.273, 0.364, 0.454], [0.727, 0.636, 0.546]], "formation_energy_ev_per_atom": 0.036, "sg": "P-1, No. 2", "final_energy_ry_per_atom": -0.8226, "magnetic_moment_mub_per_fu": 0.0, "dos_ef_per_ev_atom": 1.58}


# 4
{"formula": "NbCuSn", "functional": "PBE", "state": "optimized geometry", "lattice": [[-1.551, 1.551, 5.502], [1.551, -1.551, 5.502], [1.551, 1.551, -5.502]], "species": ["Nb", "Cu", "Sn"], "fractional_positions": [[0.000, 0.000, 0.000], [0.349, 0.349, 0.000], [0.692, 0.692, 0.000]], "formation_energy_ev_per_atom": 0.141, "sg": "I4mm, No. 107", "final_energy_ry_per_atom": -0.4348, "magnetic_moment_mub_per_fu": 0.0, "dos_ef_per_ev_atom": 0.79}


# 5
{"formula": "Ce2Pr2As5", "functional": "PBE", "state": "optimized geometry", "lattice": [[7.288, -3.965, 0.000], [7.288, 3.965, 0.000], [0.000, 0.000, 8.000]], "species": ["Ce", "Ce", "Ce", "Ce", "Pr", "Pr", "Pr", "Pr", "As", "As", "As", "As", "As", "As", "As", "As", "As", "As"], "fractional_positions": [[0.195, 0.195, 0.000], [0.305, 0.305, 0.500], [0.695, 0.695, 0.500], [0.805, 0.805, 0.000], [0.155, 0.845, 0.659], [0.345, 0.655, 0.159], [0.655, 0.345, 0.841], [0.845, 0.155, 0.341], [0.000, 0.000, 0.000], [0.014, 0.697, 0.345], [0.197, 0.514, 0.845], [0.303, 0.986, 0.345], [0.486, 0.803, 0.845], [0.500, 0.500, 0.500], [0.514, 0.197, 0.155], [0.697, 0.014, 0.655], [0.803, 0.486, 0.155], [0.986, 0.303, 0.655]], "formation_energy_ev_per_atom": -1.205, "sg": "Cmce, No. 64", "final_energy_ry_per_atom": -0.4534, "magnetic_moment_mub_per_fu": 0.0, "dos_ef_per_ev_atom": 0.81}


# 6
{"formula": "Ba3YW", "functional": "PBE", "state": "optimized geometry", "lattice": [[6.375, 0.000, 0.000], [0.000, 6.375, 0.000], [0.000, 0.000, 6.375]], "species": ["Ba", "Ba", "Ba", "Y", "W"], "fractional_positions": [[0.000, 0.000, 0.500], [0.000, 0.500, 0.000], [0.500, 0.000, 0.000], [0.000, 0.000, 0.000], [0.500, 0.500, 0.500]], "formation_energy_ev_per_atom": 1.790, "sg": "Pm-3m, No. 221", "final_energy_ry_per_atom": -0.2387, "magnetic_moment_mub_per_fu": 3.3, "dos_ef_per_ev_atom": 1.45}


# 7
{"formula": "TaCr2Au", "functional": "PBE", "state": "optimized geometry", "lattice": [[1.622, -2.170, 0.000], [1.622, 2.170, 0.000], [0.000, 0.000, 8.582]], "species": ["Ta", "Cr", "Cr", "Au"], "fractional_positions": [[0.000, 0.000, 0.000], [0.500, 0.500, 0.245], [0.500, 0.500, 0.755], [0.000, 0.000, 0.500]], "formation_energy_ev_per_atom": 0.322, "sg": "Cmmm, No. 65", "final_energy_ry_per_atom": -0.6080, "magnetic_moment_mub_per_fu": 0.0, "dos_ef_per_ev_atom": 1.14}


# 8
{"formula": "La3Pm7Dy2", "functional": "PBE", "state": "optimized geometry", "lattice": [[5.980, 0.000, 0.000], [0.000, 3.649, 0.000], [-1.018, 0.000, 19.276]], "species": ["La", "La", "La", "Pm", "Pm", "Pm", "Pm", "Pm", "Pm", "Pm", "Dy", "Dy"], "fractional_positions": [[0.000, 0.000, 0.000], [0.278, 0.500, 0.634], [0.722, 0.500, 0.366], [0.190, 0.500, 0.145], [0.243, 0.000, 0.463], [0.307, 0.000, 0.821], [0.500, 0.500, 0.000], [0.693, 0.000, 0.179], [0.757, 0.000, 0.537], [0.810, 0.500, 0.855], [0.213, 0.000, 0.294], [0.787, 0.000, 0.706]], "formation_energy_ev_per_atom": 0.081, "sg": "P2/m, No. 10", "final_energy_ry_per_atom": -0.3446, "magnetic_moment_mub_per_fu": 0.0, "dos_ef_per_ev_atom": 1.46}